Material: KHgAs2
Method: DFT, PBE-GGA
State: optimized geometry

Cell lengths 6.0117, 6.0117, 6.0117 Å; angles 140.46, 133.25, 62.84 degrees
Last column: nearest neighbours and their distance in Å.
Atoms (fractional coordinates):
1 K 0.2500 0.7500 0.5000  4 Hg 3.13, 8 As 3.35-3.45
2 As 0.9787 0.9787 0.0000  2 Hg 3.10, 4 As 3.16, 4 K 3.35-3.45
3 As 0.5213 0.5213 0.0000  2 Hg 3.10, 4 As 3.16, 4 K 3.35-3.45
4 Hg 0.7500 0.2500 0.5000  4 As 3.10, 4 K 3.13

Output
Formation enthalpy at 0 K in kcal/mol of atoms: 3.64
Total moment in μB per atom: 0.00
Raw total energy in eV/cell: -10.07
Volume in Å³/cell: 99.5



Material: KHgAs2
Method: DFT, PBE-GGA
State: optimized geometry

Cell lengths 5.0713, 5.0713, 10.1606 Å; angles 75.55, 75.55, 90.00 degrees
Last column: nearest neighbours and their distance in Å.
Atoms (fractional coordinates):
1 As 0.7606 0.1250 0.2500  2 Hg 2.76, 2 As 2.79
2 As 0.8750 0.0106 0.7500  2 Hg 2.76, 2 As 2.79
3 As 0.3750 0.2394 0.7500  2 Hg 2.76, 2 As 2.79
4 As 0.9894 0.6250 0.2500  2 Hg 2.76, 2 As 2.79
5 K 0.2500 0.7500 0.5000  4 As 3.33, 4 Hg 3.59
6 K 0.5000 0.5000 0.0000  4 As 3.33, 4 Hg 3.59
7 Hg 0.7500 0.2500 0.5000  4 As 2.76
8 Hg 0.0000 0.0000 0.0000  4 As 2.76

Output
Formation enthalpy at 0 K in kcal/mol of atoms: -0.48
Total moment in μB per atom: 0.00
Raw total energy in eV/cell: -21.56
Volume in Å³/cell: 244.5



Material: K2HgAs
Method: DFT, PBE-GGA
State: optimized geometry

Cell lengths 5.1273, 5.1273, 11.5303 Å; angles 77.15, 77.15, 90.00 degrees
Last column: nearest neighbours and their distance in Å.
Atoms (fractional coordinates):
1 Hg 0.7500 0.2500 0.5000  4 K 3.31, 4 As 3.63
2 Hg 0.0000 0.0000 0.0000  4 K 3.31, 4 As 3.63
3 K 0.1367 0.6250 0.2500  2 As 3.26, 2 Hg 3.31, 2 K 3.54
4 K 0.8750 0.8633 0.7500  2 As 3.26, 2 Hg 3.31, 2 K 3.54
5 K 0.3750 0.3867 0.7500  2 As 3.26, 2 Hg 3.31, 2 K 3.54
6 K 0.6133 0.1250 0.2500  2 As 3.26, 2 Hg 3.31, 2 K 3.54
7 As 0.2500 0.7500 0.5000  4 K 3.26, 4 Hg 3.63
8 As 0.5000 0.5000 0.0000  4 K 3.26, 4 Hg 3.63

Output
Formation enthalpy at 0 K in kcal/mol of atoms: 1.50
Total moment in μB per atom: 0.00
Raw total energy in eV/cell: -13.77
Volume in Å³/cell: 287.7
Energy above the lowest structure with this stoichiometry in meV per atom: 373.8



Material: K2HgAs
Method: DFT, PBE-GGA
State: optimized geometry

Cell lengths 5.7245, 5.7245, 5.7245 Å; angles 60.00, 60.00, 60.00 degrees
Last column: nearest neighbours and their distance in Å.
Atoms (fractional coordinates):
1 Hg 0.5000 0.5000 0.5000  8 K 3.51
2 K 0.7500 0.7500 0.7500  4 As 3.51, 4 Hg 3.51
3 K 0.2500 0.2500 0.2500  4 Hg 3.51, 4 As 3.51
4 As 0.0000 0.0000 0.0000  8 K 3.51

Output
Formation enthalpy at 0 K in kcal/mol of atoms: -4.35
Total moment in μB per atom: 0.25
Raw total energy in eV/cell: -7.90
Volume in Å³/cell: 132.6
Energy above the lowest structure with this stoichiometry in meV per atom: 120.2



Material: KHgAs2
Method: DFT, PBE-GGA
State: optimized geometry

Cell lengths 3.0374, 5.4166, 6.5711 Å; angles 90.00, 90.00, 90.00 degrees
Last column: nearest neighbours and their distance in Å.
Atoms (fractional coordinates):
1 As 0.0000 0.0000 0.4344  1 As 2.42
2 As 0.0000 0.0000 0.0656  1 As 2.42
3 Hg 0.5000 0.5000 0.2500  2 Hg 3.04, 2 K 3.29, 8 As 3.33
4 K 0.5000 0.5000 0.7500  2 K 3.04, 2 Hg 3.29

Output
Formation enthalpy at 0 K in kcal/mol of atoms: 1.71
Total moment in μB per atom: 0.00
Raw total energy in eV/cell: -10.40
Volume in Å³/cell: 108.1



Material: KHgAs2
Method: DFT, PBE-GGA
State: optimized geometry

Cell lengths 6.4585, 6.4585, 6.4585 Å; angles 146.80, 127.07, 63.93 degrees
Last column: nearest neighbours and their distance in Å.
Atoms (fractional coordinates):
1 As 0.7957 0.2957 0.5000  2 As 2.45
2 As 0.9430 0.9430 0.0000  2 As 2.45
3 K 0.2315 0.7315 0.5000  8 As 3.49-3.70, 4 Hg 3.63-3.75, 2 K 3.69
4 Hg 0.5298 0.5298 0.0000  8 As 3.45-3.86, 4 K 3.63-3.75, 2 Hg 3.69

Output
Formation enthalpy at 0 K in kcal/mol of atoms: -4.74
Total moment in μB per atom: 0.00
Raw total energy in eV/cell: -11.52
Volume in Å³/cell: 116.4



Material: K2HgAs2
Method: DFT, PBE-GGA
State: optimized geometry

Cell lengths 3.8322, 3.8322, 11.2140 Å; angles 80.16, 80.16, 90.00 degrees
Last column: nearest neighbours and their distance in Å.
Atoms (fractional coordinates):
1 As 0.2500 0.7500 0.5000  4 As 2.71
2 As 0.7500 0.2500 0.5000  4 As 2.71
3 K 0.6196 0.6196 0.7608  4 As 3.42, 4 Hg 3.76, 4 K 3.83
4 K 0.3804 0.3804 0.2392  4 As 3.42, 4 Hg 3.76, 4 K 3.83
5 Hg 0.0000 0.0000 0.0000  8 K 3.76, 4 Hg 3.83

Output
Formation enthalpy at 0 K in kcal/mol of atoms: -3.89
Total moment in μB per atom: 0.00
Raw total energy in eV/cell: -12.64
Volume in Å³/cell: 159.8
Energy above the lowest structure with this stoichiometry in meV per atom: 123.4



Material: K2HgAs
Method: DFT, PBE-GGA
State: optimized geometry

Cell lengths 10.6738, 10.6738, 10.6738 Å; angles 22.16, 22.16, 22.16 degrees
Last column: nearest neighbours and their distance in Å.
Atoms (fractional coordinates):
1 K 0.9880 0.9880 0.9880  3 As 3.25
2 K 0.5120 0.5120 0.5120  3 As 3.25
3 Hg 0.7500 0.7500 0.7500  6 K 3.80, 6 Hg 4.10
4 As 0.2500 0.2500 0.2500  6 K 3.25

Output
Formation enthalpy at 0 K in kcal/mol of atoms: -0.43
Total moment in μB per atom: 0.00
Raw total energy in eV/cell: -7.22
Volume in Å³/cell: 151.7
Energy above the lowest structure with this stoichiometry in meV per atom: 289.9



Material: K2Hg2As
Method: DFT, PBE-GGA
State: optimized geometry

Cell lengths 9.1092, 9.1092, 4.2635 Å; angles 90.00, 90.00, 90.00 degrees
Last column: nearest neighbours and their distance in Å.
Atoms (fractional coordinates):
1 K 0.1721 0.3279 0.0000  6 Hg 3.34-3.49, 2 As 3.37
2 K 0.3279 0.8279 0.0000  6 Hg 3.34-3.49, 2 As 3.37
3 K 0.8279 0.6721 0.0000  6 Hg 3.34-3.49, 2 As 3.37
4 K 0.6721 0.1721 0.0000  6 Hg 3.34-3.49, 2 As 3.37
5 As 0.5000 0.5000 0.0000  4 K 3.37
6 As 0.0000 0.0000 0.0000  4 K 3.37
7 Hg 0.3721 0.1279 0.5000  1 Hg 3.29, 6 K 3.34-3.49
8 Hg 0.8721 0.3721 0.5000  1 Hg 3.29, 6 K 3.34-3.49
9 Hg 0.1279 0.6279 0.5000  1 Hg 3.29, 6 K 3.34-3.49
10 Hg 0.6279 0.8721 0.5000  1 Hg 3.29, 6 K 3.34-3.49

Output
Formation enthalpy at 0 K in kcal/mol of atoms: 0.15
Total moment in μB per atom: 0.00
Raw total energy in eV/cell: -14.83
Volume in Å³/cell: 353.8
Energy above the lowest structure with this stoichiometry in meV per atom: 295.1



Material: K2Hg2As
Method: DFT, PBE-GGA
State: optimized geometry

Cell lengths 4.8923, 6.8440, 10.9629 Å; angles 111.71, 90.00, 110.94 degrees
Last column: nearest neighbours and their distance in Å.
Atoms (fractional coordinates):
1 As 0.2804 0.5608 0.2689  3 Hg 2.84-2.94
2 As 0.7196 0.4392 0.7311  3 Hg 2.84-2.94
3 K 0.3277 0.6553 0.9648  3 As 3.41-3.62, 2 K 3.43, 5 Hg 3.57-3.62
4 K 0.6723 0.3447 0.0352  3 As 3.41-3.62, 2 K 3.43, 5 Hg 3.57-3.62
5 K 0.6126 0.2252 0.3981  1 As 3.35, 6 Hg 3.46-3.61
6 K 0.3874 0.7748 0.6019  1 As 3.35, 6 Hg 3.46-3.61
7 Hg 0.9703 0.9406 0.8452  1 As 2.94, 1 Hg 3.17
8 Hg 0.1042 0.2084 0.6341  2 As 2.84, 1 Hg 3.09
9 Hg 0.8958 0.7916 0.3659  2 As 2.84, 1 Hg 3.09
10 Hg 0.0297 0.0594 0.1548  1 As 2.94, 1 Hg 3.17

Output
Formation enthalpy at 0 K in kcal/mol of atoms: -6.65
Total moment in μB per atom: 0.00
Raw total energy in eV/cell: -17.78
Volume in Å³/cell: 314.8
Energy above the lowest structure with this stoichiometry in meV per atom: 0.0



Material: K2HgAs2
Method: DFT, PBE-GGA
State: optimized geometry

Cell lengths 9.4982, 9.4982, 3.6397 Å; angles 90.00, 90.00, 90.00 degrees
Last column: nearest neighbours and their distance in Å.
Atoms (fractional coordinates):
1 Hg 0.0000 0.0000 0.0000  4 K 3.42, 2 Hg 3.64
2 Hg 0.5000 0.5000 0.0000  4 K 3.42, 2 Hg 3.64
3 K 0.6999 0.1999 0.0000  6 As 3.39-3.45, 2 Hg 3.42, 2 K 3.64
4 K 0.1999 0.3001 0.0000  6 As 3.39-3.45, 2 Hg 3.42, 2 K 3.64
5 K 0.8001 0.6999 0.0000  6 As 3.39-3.45, 2 Hg 3.42, 2 K 3.64
6 K 0.3001 0.8001 0.0000  6 As 3.39-3.45, 2 Hg 3.42, 2 K 3.64
7 As 0.4132 0.0868 0.5000  1 As 2.33
8 As 0.0868 0.5868 0.5000  1 As 2.33
9 As 0.9132 0.4132 0.5000  1 As 2.33
10 As 0.5868 0.9132 0.5000  1 As 2.33

Output
Formation enthalpy at 0 K in kcal/mol of atoms: -4.61
Total moment in μB per atom: 0.00
Raw total energy in eV/cell: -25.59
Volume in Å³/cell: 328.4
Energy above the lowest structure with this stoichiometry in meV per atom: 92.0



Material: K3HgAs
Method: DFT, PBE-GGA
State: optimized geometry

Cell lengths 8.4164, 8.4164, 8.4164 Å; angles 103.11, 110.44, 115.09 degrees
Last column: nearest neighbours and their distance in Å.
Atoms (fractional coordinates):
1 K 0.4886 0.1268 0.2514  2 As 3.31-3.39
2 K 0.8754 0.6268 0.1381  2 As 3.31-3.39
3 K 0.8754 0.2373 0.7486  2 As 3.31-3.39
4 K 0.4886 0.7373 0.8619  2 As 3.31-3.39
5 K 0.9014 0.7617 0.6397  2 As 3.24-3.27, 1 Hg 3.58
6 K 0.1220 0.2617 0.3603  2 As 3.24-3.27, 1 Hg 3.58
7 Hg 0.4092 0.1279 0.7813  1 As 2.71
8 Hg 0.3465 0.6279 0.2187  1 As 2.71
9 As 0.7314 0.9046 0.3268  1 Hg 2.71
10 As 0.5779 0.4046 0.6732  1 Hg 2.71

Output
Formation enthalpy at 0 K in kcal/mol of atoms: -6.42
Total moment in μB per atom: 0.00
Raw total energy in eV/cell: -19.27
Volume in Å³/cell: 453.9
Energy above the lowest structure with this stoichiometry in meV per atom: 55.2



Material: K2Hg2As
Method: DFT, PBE-GGA
State: optimized geometry

Cell lengths 6.7094, 6.7094, 6.3099 Å; angles 57.88, 57.88, 90.00 degrees
Last column: nearest neighbours and their distance in Å.
Atoms (fractional coordinates):
1 K 0.7500 0.2500 0.5000  4 Hg 3.41
2 K 0.2500 0.7500 0.5000  4 Hg 3.41
3 Hg 0.3258 0.3258 0.3484  1 As 2.71, 1 Hg 2.90
4 Hg 0.6742 0.6742 0.6516  1 As 2.71, 1 Hg 2.90
5 As 0.0000 0.0000 0.0000  2 Hg 2.71

Output
Formation enthalpy at 0 K in kcal/mol of atoms: -4.31
Total moment in μB per atom: 0.00
Raw total energy in eV/cell: -8.38
Volume in Å³/cell: 187.3
Energy above the lowest structure with this stoichiometry in meV per atom: 101.4